## ZrOsF2 (PBE)

Data for crystalline ZrOsF2 at its relaxed geometry.

Properties
* E_form (uncorrected): -0.37 eV/atom
* energy relative to the lowest polymorph listed for this composition: 0.615 eV/atom
* total magnetic moment: 2.00 μB/f.u.

a b c (Å): 4.308 4.308 4.308
angles (deg): 60.00 60.00 60.00
Sites, in units of the cell vectors:
Zr 0.000 0.000 0.000
Os 0.500 0.500 0.500
F 0.250 0.250 0.250
F 0.750 0.750 0.750

=====

## PF5 (PBE)

Data for crystalline PF5 at its relaxed geometry.

Properties
* E_form (uncorrected): -2.56 eV/atom
* total magnetic moment: 0.07 μB/f.u.

a b c (Å): 5.696 5.696 6.376
angles (deg): 90.00 90.00 120.00
Sites, in units of the cell vectors:
P 0.333 0.667 0.250
P 0.667 0.333 0.750
F 0.175 0.351 0.250
F 0.175 0.825 0.250
F 0.333 0.667 0.503
F 0.333 0.667 0.997
F 0.351 0.175 0.750
F 0.649 0.825 0.250
F 0.667 0.333 0.003
F 0.667 0.333 0.497
F 0.825 0.175 0.750
F 0.825 0.649 0.750